An optimized crystal structure of Li3Hg9Pb2. Source: Alexandria via LeMat-Bulk, functional PBE.

Unit cell a=8.442 b=8.442 c=11.844 alpha=89.30 beta=112.27 gamma=119.05
Fractional coordinates of all 28 atoms:
Hg (0.520, 0.182, 0.563)
Hg (0.200, 0.950, 0.250)
Hg (0.762, 0.318, 0.917)
Hg (0.517, 0.333, 0.064)
Hg (0.900, 0.844, 0.583)
Hg (0.881, 0.043, 0.063)
Hg (0.483, 0.667, 0.936)
Hg (0.231, 0.547, 0.564)
Hg (0.480, 0.818, 0.437)
Hg (0.100, 0.156, 0.417)
Hg (0.368, 0.925, 0.738)
Hg (0.313, 0.370, 0.238)
Hg (0.238, 0.682, 0.083)
Hg (0.800, 0.050, 0.750)
Hg (0.632, 0.075, 0.262)
Hg (0.687, 0.630, 0.762)
Hg (0.769, 0.453, 0.436)
Hg (0.119, 0.957, 0.937)
Pb (0.979, 0.466, 0.250)
Pb (0.021, 0.534, 0.750)
Pb (0.284, 0.271, 0.750)
Pb (0.716, 0.729, 0.250)
Li (0.860, 0.174, 0.532)
Li (0.142, 0.328, 0.968)
Li (0.140, 0.826, 0.468)
Li (0.500, 0.000, 0.000)
Li (0.858, 0.672, 0.032)
Li (0.500, 0.500, 0.500)

Output
Energy ... -0.04645 hartree per atom
Magnetization ... 0.000 μB/cell